1.
Below is an optimized crystal structure of Li2Hg2Cl7, with properties calculated at the PBE level.

Lattice parameters (Å, degrees): 6.774 7.832 7.832 125.36 92.50 92.50
Last column: magnetic moment on the atom in μB.
Fractional positions:
Cl 0.710 0.420 0.092  0.01
Li 0.862 0.300 0.300  0.00
Cl 0.710 0.092 0.420  0.01
Cl 0.225 0.360 0.360  0.17
Hg 0.500 0.338 0.662  0.00
Cl 0.775 0.640 0.640  0.17
Li 0.138 0.700 0.700  0.00
Cl 0.290 0.908 0.580  0.01
Cl 0.000 0.000 0.000  0.43
Hg 0.500 0.662 0.338  0.00
Cl 0.290 0.580 0.908  0.01

Properties
Raw total energy = -2.48 eV per atom
Spin magnetization = 0.091 μB per atom
Calculated volume = 30.67 Å³/atom

2.
Below is an optimized crystal structure of Li2HgCl, with properties calculated at the PBE level.

Lattice parameters (Å, degrees): 6.939 6.939 6.133 55.55 55.55 90.00
Fractional positions:
Li 0.375 0.436 0.750
Hg 0.000 0.000 0.000
Cl 0.500 0.500 0.000
Li 0.875 0.814 0.750
Li 0.564 0.125 0.250
Cl 0.250 0.750 0.500
Li 0.186 0.625 0.250
Hg 0.750 0.250 0.500

Properties
N(E_F) = 0.571 states/eV/atom
Energy relative to the lowest polymorph listed for this composition = 110.8 meV/atom
Raw total energy = -2.32 eV per atom
Spin magnetization = 0.000 μB per atom
Calculated volume = 22.15 Å³/atom